## KCd2Rh (PBE)

Data for a geometry-optimized KCd2Rh structure.

Output
Calculated total energy: -2.324 eV per atom
Crystal system: trigonal
Space-group type: R-3m
Calculated volume: 23.00 A^3/atom
Energy above the most stable polymorph in this dataset: 0.224 eV per atom
Magnetization: 0.11 Bohr magnetons per cell

Cell: 3.1998 3.1998 31.1224 Å, 90.00 90.00 120.00°
Sites, in units of the cell vectors:
K 0.0000 0.0000 0.0000
K 0.3333 0.6667 0.6667
K 0.6667 0.3333 0.3333
Cd 0.0000 0.0000 0.2345
Cd 0.0000 0.0000 0.7655
Cd 0.3333 0.6667 0.4322
Cd 0.3333 0.6667 0.9011
Cd 0.6667 0.3333 0.0989
Cd 0.6667 0.3333 0.5678
Rh 0.0000 0.0000 0.5000
Rh 0.3333 0.6667 0.1667
Rh 0.6667 0.3333 0.8333